# K2AsSe, relaxed, DFT PBE-GGA
data_K2AsSe
_cell_length_a 4.6735
_cell_length_b 4.6735
_cell_length_c 4.9514
_cell_angle_alpha 90.00
_cell_angle_beta 90.00
_cell_angle_gamma 90.00
_symmetry_space_group_name_H-M 'P 4/m m m'
_symmetry_Int_Tables_number 123
_symmetry_space_group_name_Hall '-P 4 2'
loop_
_atom_site_label
_atom_site_fract_x
_atom_site_fract_y
_atom_site_fract_z
_atom_site_occupancy
K1 0.0000 0.5000 0.0000 1
As1 0.0000 0.0000 0.5000 1
Se1 0.5000 0.5000 0.5000 1
# **Calculated total energy**: -2.969 eV/atom
# **Polymorph energy (0 for the lowest one)**: 0.80 eV/f.u.
# **Raw formation energy**: -149 kJ/mol of formula units



# KAsSe, relaxed, DFT PBE-GGA
data_KAsSe
_cell_length_a 2.9091
_cell_length_b 2.9091
_cell_length_c 19.0325
_cell_angle_alpha 90.00
_cell_angle_beta 90.00
_cell_angle_gamma 90.00
_symmetry_space_group_name_H-M 'I 4 m m'
_symmetry_Int_Tables_number 107
_symmetry_space_group_name_Hall 'I 4 -2'
loop_
_atom_site_label
_atom_site_fract_x
_atom_site_fract_y
_atom_site_fract_z
_atom_site_occupancy
K1 0.0000 0.0000 0.0000 1
As1 0.0000 0.0000 0.6457 1
Se1 0.0000 0.0000 0.3665 1
# **Calculated total energy**: -3.002 eV/atom
# **Polymorph energy (0 for the lowest one)**: 2.10 eV/f.u.
# **Raw formation energy**: 22 kJ/mol of formula units



# K2As2Se5, relaxed, DFT PBE-GGA
data_K2As2Se5
_cell_length_a 13.7597
_cell_length_b 5.2066
_cell_length_c 8.4280
_cell_angle_alpha 90.00
_cell_angle_beta 104.14
_cell_angle_gamma 90.00
_symmetry_space_group_name_H-M 'C 1 2/m 1'
_symmetry_Int_Tables_number 12
loop_
_symmetry_equiv_pos_as_xyz
'x,y,z'
'-x,-y,-z'
'-x,y,-z'
'x,-y,z'
'x+1/2,y+1/2,z'
'-x+1/2,-y+1/2,-z'
'-x+1/2,y+1/2,-z'
'x+1/2,-y+1/2,z'
loop_
_atom_site_label
_atom_site_fract_x
_atom_site_fract_y
_atom_site_fract_z
_atom_site_occupancy
K1 0.0972 0.0000 0.3446 1
As1 0.1665 0.5000 0.8974 1
Se1 0.0000 0.5000 0.0000 1
Se2 0.1391 0.5000 0.6156 1
Se3 0.1466 0.0000 0.9761 1
# **Calculated total energy**: -3.635 eV/atom
# **Polymorph energy (0 for the lowest one)**: 0.70 eV/f.u.
# **Raw formation energy**: -367 kJ/mol of formula units



# KAs4Se, relaxed, DFT PBE-GGA
data_KAs4Se
_cell_length_a 8.7726
_cell_length_b 8.7726
_cell_length_c 8.7726
_cell_angle_alpha 90.00
_cell_angle_beta 90.00
_cell_angle_gamma 90.00
_symmetry_space_group_name_H-M 'F -4 3 m'
_symmetry_Int_Tables_number 216
_symmetry_space_group_name_Hall 'F -4 2 3'
loop_
_atom_site_label
_atom_site_fract_x
_atom_site_fract_y
_atom_site_fract_z
_atom_site_occupancy
K1 0.0000 0.0000 0.0000 1
As1 0.1002 0.1002 0.3998 1
Se1 0.2500 0.2500 0.7500 1
# **Calculated total energy**: -3.862 eV/atom
# **Raw formation energy**: 1 kJ/mol of formula units